Arrangement one

The following is a DFT calculation (GGA-PBE) of a relaxed SrAg2As2 crystal.

POSCAR file:
```
SrAg2As2
1.0
8.147 0.000 0.000
0.000 8.147 0.000
0.000 0.000 3.303
Sr Ag As
2 4 4
direct
0.000 0.000 0.000
0.500 0.500 0.000
0.120 0.380 0.000
0.380 0.880 0.000
0.620 0.120 0.000
0.880 0.620 0.000
0.184 0.684 0.500
0.316 0.184 0.500
0.684 0.816 0.500
0.816 0.316 0.500
```

=====

Arrangement two

The following is a DFT calculation (GGA-PBE) of a relaxed SrAg2As2 crystal.

POSCAR file:
```
SrAg2As2
1.0
-2.201 2.201 5.867
2.201 -2.201 5.867
2.201 2.201 -5.867
Sr Ag As
1 2 2
direct
0.000 0.000 0.000
0.250 0.750 0.500
0.750 0.250 0.500
0.389 0.389 0.000
0.611 0.611 0.000
```

=====

Arrangement three

The following is a DFT calculation (GGA-PBE) of a relaxed SrAg2As2 crystal.

POSCAR file:
```
SrAg2As2
1.0
-2.457 2.457 4.912
2.457 -2.457 4.912
2.457 2.457 -4.912
Sr Ag As
1 2 2
direct
0.000 0.000 0.000
0.357 0.357 0.000
0.643 0.643 0.000
0.250 0.750 0.500
0.750 0.250 0.500
```

=====

Name the least stable of them. arrangement one.

=====

Arrangement one

The following is a DFT calculation (GGA-PBE) of a relaxed TaAg3As crystal.

POSCAR file:
```
TaAg3As
1.0
5.123 0.000 0.000
0.000 5.123 0.000
0.000 0.000 5.123
Ta Ag As
1 3 1
direct
0.000 0.000 0.000
0.000 0.000 0.500
0.000 0.500 0.000
0.500 0.000 0.000
0.500 0.500 0.500
```

=====

Arrangement two

The following is a DFT calculation (GGA-PBE) of a relaxed TaAg3As crystal.

POSCAR file:
```
TaAg3As
1.0
4.779 0.000 0.000
0.000 4.779 0.000
0.000 0.000 4.779
Ta Ag As
1 3 1
direct
0.000 0.000 0.000
0.000 0.500 0.500
0.500 0.000 0.500
0.500 0.500 0.000
0.500 0.500 0.500
```

=====

Name the least stable of them. arrangement one.

=====

Arrangement one

The following is a DFT calculation (GGA-PBE) of a relaxed Ta2AgAs2 crystal.

POSCAR file:
```
Ta2AgAs2
1.0
7.340 0.000 0.000
0.000 7.340 0.000
0.000 0.000 3.272
Ta Ag As
4 2 4
direct
0.140 0.360 0.000
0.360 0.860 0.000
0.640 0.140 0.000
0.860 0.640 0.000
0.000 0.000 0.500
0.500 0.500 0.500
0.149 0.649 0.500
0.351 0.149 0.500
0.649 0.851 0.500
0.851 0.351 0.500
```

=====

Arrangement two

The following is a DFT calculation (GGA-PBE) of a relaxed Ta2AgAs2 crystal.

POSCAR file:
```
Ta2AgAs2
1.0
7.336 0.000 0.000
0.000 7.336 0.000
0.000 0.000 3.348
Ta Ag As
4 2 4
direct
0.139 0.361 0.000
0.361 0.861 0.000
0.639 0.139 0.000
0.861 0.639 0.000
0.000 0.000 0.000
0.500 0.500 0.000
0.150 0.650 0.500
0.350 0.150 0.500
0.650 0.850 0.500
0.850 0.350 0.500
```

=====

Name the least stable of them. arrangement one.

=====

Arrangement one

The following is a DFT calculation (GGA-PBE) of a relaxed TaAgAs3 crystal.

POSCAR file:
```
TaAgAs3
1.0
4.997 0.000 0.000
0.000 4.997 0.000
0.000 0.000 4.997
Ta Ag As
1 1 3
direct
0.000 0.000 0.000
0.500 0.500 0.500
0.000 0.000 0.500
0.000 0.500 0.000
0.500 0.000 0.000
```

=====

Arrangement two

The following is a DFT calculation (GGA-PBE) of a relaxed TaAgAs3 crystal.

POSCAR file:
```
TaAgAs3
1.0
4.856 0.000 0.000
0.000 4.856 0.000
0.000 0.000 4.856
Ta Ag As
1 1 3
direct
0.000 0.000 0.000
0.500 0.500 0.500
0.000 0.500 0.500
0.500 0.000 0.500
0.500 0.500 0.000
```

=====

Name the least stable of them. arrangement two.

=====

Arrangement one

The following is a DFT calculation (GGA-PBE) of a relaxed Ta2AgTeAs crystal.

POSCAR file:
```
Ta2AgTeAs
1.0
5.097 0.000 0.000
0.000 5.097 0.000
0.000 0.000 4.997
Ta Ag Te As
2 1 1 1
direct
0.000 0.500 0.000
0.500 0.000 0.000
0.000 0.000 0.500
0.000 0.000 0.000
0.500 0.500 0.500
```

=====

Arrangement two

The following is a DFT calculation (GGA-PBE) of a relaxed Ta2AgTeAs crystal.

POSCAR file:
```
Ta2AgTeAs
1.0
5.084 0.000 0.000
0.000 5.084 0.000
0.000 0.000 5.072
Ta Ag Te As
2 1 1 1
direct
0.000 0.500 0.000
0.500 0.000 0.000
0.000 0.000 0.000
0.000 0.000 0.500
0.500 0.500 0.500
```

=====

Name the least stable of them. arrangement two.